The following is a DFT calculation (PBE) of a relaxed Mg3RhW crystal.

Cell and atoms, written as POSCAR:
```
Mg3RhW
1.0
4.700 0.000 0.000
0.000 4.700 0.000
0.000 0.000 4.700
Mg Rh W
3 1 1
Cartesian
0.000 0.000 2.350
0.000 2.350 0.000
2.350 0.000 0.000
0.000 0.000 0.000
2.350 2.350 2.350
```

- DFT formation energy (eV/atom) = 1.04
- offset from the most stable computed form (meV/atom) = 0

The following is a DFT calculation (PBE) of a relaxed Mg2RhW crystal.

Cell and atoms, written as POSCAR:
```
Mg2RhW
1.0
2.686 -4.579 0.000
2.686 4.579 0.000
-0.769 0.000 2.660
Mg Rh W
2 1 1
Cartesian
1.343 2.289 0.000
1.343 -2.289 0.000
-0.385 0.000 1.330
2.302 0.000 1.330
```

- DFT formation energy (eV/atom) = 0.16
- offset from the most stable computed form (meV/atom) = 209

The following is a DFT calculation (PBE) of a relaxed MgRh2W crystal.

Cell and atoms, written as POSCAR:
```
MgRh2W
1.0
-1.877 1.877 4.287
1.877 -1.877 4.287
1.877 1.877 -4.287
Mg Rh W
1 2 1
Cartesian
0.000 0.000 0.000
1.877 0.000 2.144
0.000 0.000 4.287
0.000 1.877 2.144
```

- DFT formation energy (eV/atom) = -0.08

The following is a DFT calculation (PBE) of a relaxed Mg2RhW crystal.

Cell and atoms, written as POSCAR:
```
Mg2RhW
1.0
2.818 0.000 0.000
0.000 4.458 0.000
-0.945 0.000 5.399
Mg Rh W
2 1 1
Cartesian
0.000 0.000 0.000
0.081 2.229 3.942
1.747 2.229 1.412
1.249 0.000 2.527
```

- DFT formation energy (eV/atom) = 0.09
- offset from the most stable computed form (meV/atom) = 136

The following is a DFT calculation (PBE) of a relaxed Mg2RhW crystal.

Cell and atoms, written as POSCAR:
```
Mg2RhW
1.0
-2.255 2.255 3.184
2.255 -2.255 3.184
2.255 2.255 -3.184
Mg Rh W
2 1 1
Cartesian
0.000 0.000 0.000
0.000 2.255 1.592
0.000 0.000 3.184
2.255 0.000 1.592
```

- DFT formation energy (eV/atom) = 0.19
- offset from the most stable computed form (meV/atom) = 235

The following is a DFT calculation (PBE) of a relaxed MgRhW2 crystal.

Cell and atoms, written as POSCAR:
```
MgRhW2
1.0
-1.569 2.155 4.637
1.569 -2.155 4.637
1.569 2.155 -4.637
Mg Rh W
1 1 2
Cartesian
0.000 0.000 0.000
0.000 0.000 4.637
1.569 0.000 2.377
0.000 2.155 2.260
```

- DFT formation energy (eV/atom) = 0.03

The following is a DFT calculation (PBE) of a relaxed MgRh2W crystal.

Cell and atoms, written as POSCAR:
```
MgRh2W
1.0
2.966 -3.619 0.000
2.966 3.619 0.000
0.000 0.000 2.818
Mg Rh W
1 2 1
Cartesian
0.000 0.000 0.000
1.483 1.809 1.409
1.483 -1.809 1.409
2.966 0.000 0.000
```

- DFT formation energy (eV/atom) = -0.23

The following is a DFT calculation (PBE) of a relaxed Mg2RhW crystal.

Cell and atoms, written as POSCAR:
```
Mg2RhW
1.0
3.860 0.000 0.000
0.000 3.860 0.000
0.000 0.000 4.407
Mg Rh W
2 1 1
Cartesian
0.000 1.930 0.000
1.930 0.000 0.000
0.000 0.000 2.204
1.930 1.930 2.204
```

- DFT formation energy (eV/atom) = 0.25
- offset from the most stable computed form (meV/atom) = 302

The following is a DFT calculation (PBE) of a relaxed Mg2RhW crystal.

Cell and atoms, written as POSCAR:
```
Mg2RhW
1.0
4.802 0.000 0.000
0.000 4.802 0.000
0.000 0.000 2.848
Mg Rh W
2 1 1
Cartesian
0.000 2.401 0.000
2.401 0.000 0.000
0.000 0.000 1.424
2.401 2.401 1.424
```

- DFT formation energy (eV/atom) = 0.37
- offset from the most stable computed form (meV/atom) = 423

The following is a DFT calculation (PBE) of a relaxed MgRhW2 crystal.

Cell and atoms, written as POSCAR:
```
MgRhW2
1.0
4.809 0.000 0.000
0.000 4.809 0.000
0.000 0.000 2.755
Mg Rh W
1 1 2
Cartesian
0.000 0.000 0.000
2.405 2.405 0.000
0.000 2.405 1.377
2.405 0.000 1.377
```

- DFT formation energy (eV/atom) = 0.58

The following is a DFT calculation (PBE) of a relaxed Mg2RhW crystal.

Cell and atoms, written as POSCAR:
```
Mg2RhW
1.0
2.659 -4.460 0.000
2.659 4.460 0.000
0.000 0.000 2.780
Mg Rh W
2 1 1
Cartesian
1.329 2.230 0.000
1.329 -2.230 0.000
0.000 0.000 1.390
2.659 0.000 1.390
```

- DFT formation energy (eV/atom) = 0.18
- offset from the most stable computed form (meV/atom) = 231

The following is a DFT calculation (PBE) of a relaxed Mg2RhW2 crystal.

Cell and atoms, written as POSCAR:
```
Mg2RhW2
1.0
7.504 0.000 0.000
0.000 7.504 0.000
0.000 0.000 3.086
Mg Rh W
4 2 4
Cartesian
1.383 2.369 0.000
2.369 6.121 0.000
5.135 1.383 0.000
6.121 5.135 0.000
0.000 0.000 0.000
3.752 3.752 0.000
0.833 4.585 1.543
2.919 0.833 1.543
4.585 6.671 1.543
6.671 2.919 1.543
```

- DFT formation energy (eV/atom) = 0.80
- offset from the most stable computed form (meV/atom) = 108

The following is a DFT calculation (PBE) of a relaxed Mg2RhW crystal.

Cell and atoms, written as POSCAR:
```
Mg2RhW
1.0
2.948 0.000 0.000
0.000 4.715 0.000
0.000 0.000 4.723
Mg Rh W
2 1 1
Cartesian
0.000 0.000 0.000
1.474 0.000 2.361
0.000 2.357 2.361
1.474 2.357 0.000
```

- DFT formation energy (eV/atom) = 0.20
- offset from the most stable computed form (meV/atom) = 246

The following is a DFT calculation (PBE) of a relaxed MgRh2W crystal.

Cell and atoms, written as POSCAR:
```
MgRh2W
1.0
2.800 0.000 0.000
0.000 4.198 0.000
0.000 0.000 5.230
Mg Rh W
1 2 1
Cartesian
0.000 0.000 0.000
0.000 0.000 2.612
1.400 2.099 0.914
1.400 2.099 3.622
```

- DFT formation energy (eV/atom) = -0.11

The following is a DFT calculation (PBE) of a relaxed Mg3RhW crystal.

Cell and atoms, written as POSCAR:
```
Mg3RhW
1.0
5.095 0.000 0.000
0.000 5.095 0.000
0.000 0.000 5.095
Mg Rh W
3 1 1
Cartesian
0.000 0.000 2.548
0.000 2.548 0.000
2.548 0.000 0.000
2.548 2.548 2.548
0.000 0.000 0.000
```

- DFT formation energy (eV/atom) = 1.73
- offset from the most stable computed form (meV/atom) = 682

The following is a DFT calculation (PBE) of a relaxed MgRhW2 crystal.

Cell and atoms, written as POSCAR:
```
MgRhW2
1.0
4.552 -1.376 0.000
4.552 1.376 0.000
-0.640 0.000 5.089
Mg Rh W
1 1 2
Cartesian
0.000 0.000 0.000
1.773 0.000 3.973
4.402 0.000 2.586
6.747 0.000 1.354
```

- DFT formation energy (eV/atom) = 0.21

The following is a DFT calculation (PBE) of a relaxed Mg4Rh5W crystal.

Cell and atoms, written as POSCAR:
```
Mg4Rh5W
1.0
3.068 0.000 0.000
0.000 3.068 0.000
0.000 0.000 16.007
Mg Rh W
4 5 1
Cartesian
0.000 0.000 1.576
0.000 0.000 4.681
0.000 0.000 11.326
0.000 0.000 14.431
1.534 1.534 0.000
1.534 1.534 3.162
1.534 1.534 6.387
1.534 1.534 9.620
1.534 1.534 12.846
0.000 0.000 8.004
```

- DFT formation energy (eV/atom) = -0.40

The following is a DFT calculation (PBE) of a relaxed MgRhW4 crystal.

Cell and atoms, written as POSCAR:
```
MgRhW4
1.0
0.000 3.728 3.728
3.728 0.000 3.728
3.728 3.728 0.000
Mg Rh W
1 1 4
Cartesian
0.000 0.000 0.000
1.864 1.864 1.864
4.672 2.785 2.785
2.785 4.672 2.785
2.785 2.785 4.672
4.672 4.672 4.672
```

- DFT formation energy (eV/atom) = 0.43

The following is a DFT calculation (PBE) of a relaxed MgRh2W crystal.

Cell and atoms, written as POSCAR:
```
MgRh2W
1.0
4.622 0.000 0.000
0.000 4.622 0.000
0.000 0.000 2.851
Mg Rh W
1 2 1
Cartesian
0.000 0.000 0.000
0.000 2.311 1.426
2.311 0.000 1.426
2.311 2.311 0.000
```

- DFT formation energy (eV/atom) = -0.18

The following is a DFT calculation (PBE) of a relaxed MgRh9W2 crystal.

Cell and atoms, written as POSCAR:
```
MgRh9W2
1.0
3.877 0.000 0.000
0.000 3.877 0.000
0.000 0.000 11.628
Mg Rh W
1 9 2
Cartesian
0.000 0.000 0.000
0.000 1.939 2.020
0.000 1.939 5.814
0.000 1.939 9.608
1.939 0.000 2.020
1.939 0.000 5.814
1.939 0.000 9.608
1.939 1.939 0.000
1.939 1.939 3.919
1.939 1.939 7.709
0.000 0.000 3.807
0.000 0.000 7.821
```

- DFT formation energy (eV/atom) = -0.28

The following is a DFT calculation (PBE) of a relaxed Mg2RhW crystal.

Cell and atoms, written as POSCAR:
```
Mg2RhW
1.0
-3.658 3.658 2.632
3.658 -3.658 2.632
3.658 3.658 -2.632
Mg Rh W
4 2 2
Cartesian
1.829 1.629 -0.658
2.029 -1.829 3.290
1.829 2.029 1.974
1.629 5.487 0.658
0.000 0.000 0.000
0.000 3.658 1.316
3.658 0.000 1.316
0.000 0.000 2.632
```

- DFT formation energy (eV/atom) = 0.67
- offset from the most stable computed form (meV/atom) = 715

The following is a DFT calculation (PBE) of a relaxed MgRhW2 crystal.

Cell and atoms, written as POSCAR:
```
MgRhW2
1.0
2.746 0.000 0.000
0.000 4.363 0.000
-0.960 0.000 5.291
Mg Rh W
1 1 2
Cartesian
0.000 0.000 0.000
1.799 2.182 1.214
0.154 2.182 3.912
0.940 0.000 2.626
```

- DFT formation energy (eV/atom) = 0.13

The following is a DFT calculation (PBE) of a relaxed Mg2RhW crystal.

Cell and atoms, written as POSCAR:
```
Mg2RhW
1.0
2.932 0.000 0.000
0.000 2.932 0.000
0.000 0.000 8.063
Mg Rh W
2 1 1
Cartesian
0.000 0.000 0.000
1.466 1.466 2.526
0.000 0.000 4.313
1.466 1.466 6.000
```

- DFT formation energy (eV/atom) = -0.05
- offset from the most stable computed form (meV/atom) = 0

The following is a DFT calculation (PBE) of a relaxed MgRhW2 crystal.

Cell and atoms, written as POSCAR:
```
MgRhW2
1.0
3.211 0.000 0.000
0.000 3.211 0.000
0.000 0.000 6.246
Mg Rh W
1 1 2
Cartesian
0.000 0.000 0.000
1.605 1.605 1.449
0.000 0.000 3.129
1.605 1.605 4.475
```

- DFT formation energy (eV/atom) = 0.13

The following is a DFT calculation (PBE) of a relaxed MgRhW2 crystal.

Cell and atoms, written as POSCAR:
```
MgRhW2
1.0
0.000 3.160 3.160
3.160 0.000 3.160
3.160 3.160 0.000
Mg Rh W
1 1 2
Cartesian
0.000 0.000 0.000
4.740 4.740 4.740
1.580 1.580 1.580
3.160 3.160 3.160
```

- DFT formation energy (eV/atom) = 0.19

The following is a DFT calculation (PBE) of a relaxed MgRhW2 crystal.

Cell and atoms, written as POSCAR:
```
MgRhW2
1.0
1.406 0.812 9.485
-1.406 0.812 9.485
0.000 -1.624 9.485
Mg Rh W
1 1 2
Cartesian
0.000 0.000 0.000
0.000 0.000 14.228
0.000 0.000 6.969
0.000 0.000 21.487
```

- DFT formation energy (eV/atom) = 0.27

The following is a DFT calculation (PBE) of a relaxed Mg2RhW crystal.

Cell and atoms, written as POSCAR:
```
Mg2RhW
1.0
2.794 0.000 0.000
0.000 2.794 0.000
0.000 0.000 8.359
Mg Rh W
2 1 1
Cartesian
0.000 0.000 1.909
0.000 0.000 6.450
1.397 1.397 0.000
1.397 1.397 4.179
```

- DFT formation energy (eV/atom) = 0.10
- offset from the most stable computed form (meV/atom) = 148

The following is a DFT calculation (PBE) of a relaxed Mg2RhW crystal.

Cell and atoms, written as POSCAR:
```
Mg2RhW
1.0
4.594 -1.417 0.000
4.594 1.417 0.000
-0.667 0.000 5.125
Mg Rh W
2 1 1
Cartesian
0.000 0.000 0.000
1.688 0.000 3.901
4.259 0.000 2.410
6.739 0.000 1.455
```

- DFT formation energy (eV/atom) = 0.11
- offset from the most stable computed form (meV/atom) = 154

The following is a DFT calculation (PBE) of a relaxed MgRh2W crystal.

Cell and atoms, written as POSCAR:
```
MgRh2W
1.0
-3.521 3.521 2.813
3.521 -3.521 2.813
3.521 3.521 -2.813
Mg Rh W
2 4 2
Cartesian
0.000 0.000 0.000
0.000 3.521 1.407
1.761 -1.528 2.110
1.993 1.761 0.703
1.761 5.049 -0.703
1.528 1.761 3.517
3.521 0.000 1.407
0.000 0.000 2.813
```

- DFT formation energy (eV/atom) = 0.30